# 1
DFT (PBE) results for GdPuCoPt after structural relaxation.

Its total magnetization is 11.94 μB/f.u. As for the crystal system: cubic. For the uncorrected energy, the calculation gives -10.817 eV/atom.

It has space group F-43m (No. 216), with a = 6.8977 Å, b = 6.8977 Å, c = 6.8977 Å, α = 90.00°, β = 90.00° and γ = 90.00°. The inequivalent atoms are Gd at (0.0000, 0.0000, 0.0000), Pu at (0.0000, 0.0000, 0.5000), Co at (0.2500, 0.2500, 0.7500) and Pt at (0.2500, 0.2500, 0.2500).

=====

# 2
DFT (PBE) results for GdScCoPt after structural relaxation.

Its total magnetization is 6.68 μB/f.u. As for the crystal system: cubic. For the uncorrected energy, the calculation gives -9.040 eV/atom.

It has space group F-43m (No. 216), with a = 6.6991 Å, b = 6.6991 Å, c = 6.6991 Å, α = 90.00°, β = 90.00° and γ = 90.00°. The inequivalent atoms are Gd at (0.0000, 0.0000, 0.0000), Sc at (0.0000, 0.0000, 0.5000), Co at (0.2500, 0.2500, 0.7500) and Pt at (0.2500, 0.2500, 0.2500).

=====

# 3
DFT (PBE) results for TbGdCoPt after structural relaxation.

Its total magnetization is 6.71 μB/f.u. As for the crystal system: cubic. For the uncorrected energy, the calculation gives -8.590 eV/atom.

It has space group F-43m (No. 216), with a = 6.9049 Å, b = 6.9049 Å, c = 6.9049 Å, α = 90.00°, β = 90.00° and γ = 90.00°. The inequivalent atoms are Tb at (0.0000, 0.0000, 0.0000), Gd at (0.0000, 0.0000, 0.5000), Co at (0.2500, 0.2500, 0.7500) and Pt at (0.2500, 0.2500, 0.2500).